1.
## PuHBrCl6 (GGA-PBE)

Data for a geometry-optimized PuHBrCl6 structure.

Its density of states at the Fermi level is 6.1 states/eV per cell. For the electronic total energy, the calculation gives -4.361 eV per atom. The theoretical density comes out at 2.81 Mg/m³. The volume is 35.310 A^3/atom.

It has space group P1 (No. 1), with a = 6.538 Å, b = 7.653 Å, c = 7.730 Å, α = 112.24°, β = 100.85° and γ = 108.52°. The asymmetric unit holds Pu at (0.000, 0.000, 0.000), H at (0.531, 0.248, 0.977), Br at (0.001, 0.507, 0.503), Cl at (0.099, 0.663, 0.853), Cl at (0.331, 0.198, 0.850), Cl at (0.336, 0.151, 0.310), Cl at (0.704, 0.887, 0.677), Cl at (0.725, 0.816, 0.124) and Cl at (0.901, 0.340, 0.135).

---

2.
## Pu2H2BrCl (GGA-PBE)

Data for a geometry-optimized Pu2H2BrCl structure.

Its density of states at the Fermi level is 19.7 states/eV per cell. For the electronic total energy, the calculation gives -7.374 eV per atom. The theoretical density comes out at 9.01 Mg/m³. The volume is 18.595 A^3/atom.

It has space group P-3m1 (No. 164), with a = 3.8668 Å, b = 3.8668 Å, c = 8.6161 Å, α = 90.00°, β = 90.00° and γ = 120.00°. The asymmetric unit holds Pu at (0.3333, 0.6667, 0.2645), H at (0.3333, 0.6667, 0.7385), Br at (0.0000, 0.0000, 0.0000) and Cl at (0.0000, 0.0000, 0.5000).

---

- volume of number 1 (PuHBrCl6)?
  35.310 A^3/atom